[1]
Gd2DyGa | Alexandria | PBE-GGA | optimized geometry; space-group type = No. 123; offset from the most stable computed form = 2 meV per atom; DFT total energy = -9.210 eV/atom
1.0
4.790 0.000 0.000
0.000 4.721 0.000
0.000 0.000 4.721
Gd Ga Dy
2 1 1
direct
0.000 0.000 0.500
0.000 0.500 0.000
0.500 0.000 0.000
0.500 0.500 0.500

***

[2]
TbHoP2 | Alexandria | PBE-GGA | optimized geometry; space-group type = No. 166; offset from the most stable computed form = 1 meV per atom; DFT total energy = -6.620 eV/atom
1.0
4.009 0.000 0.000
2.005 3.472 0.000
2.005 1.157 6.540
P Tb Ho
2 1 1
direct
0.749 0.749 0.753
0.251 0.251 0.247
0.500 0.500 0.500
0.000 0.000 0.000

***

[3]
Tl2PtF7 | Alexandria | PBE-GGA | optimized geometry; space-group type = No. 15; DFT total energy = -3.840 eV/atom
1.0
-3.350 -5.805 1.389
0.625 -2.673 7.202
-7.470 1.011 3.076
Tl Pt F
4 2 14
direct
0.614 0.895 0.698
0.792 0.395 0.198
0.208 0.605 0.802
0.386 0.105 0.302
0.853 0.250 0.750
0.147 0.750 0.250
0.668 0.532 0.781
0.018 0.032 0.281
0.254 0.822 0.987
0.275 0.129 0.628
0.567 0.250 0.750
0.937 0.322 0.487
0.031 0.371 0.872
0.969 0.629 0.128
0.063 0.678 0.513
0.433 0.750 0.250
0.725 0.871 0.372
0.746 0.178 0.013
0.982 0.968 0.719
0.332 0.468 0.219